1.
CaNd2Ge3Pt4, relaxed, DFT GGA-PBE; mass density = 10.596 Mg/m³; E = -5.850 eV/atom; total moment = 0.00 Bohr magnetons per cell
1.0
-0.680 4.232 0.637
-4.263 -0.614 -0.473
-0.951 -1.792 10.886
Ca Nd Ge Pt
1 2 3 4
direct
0.500 0.500 0.500
0.500 0.000 0.226
0.000 0.500 0.774
0.000 0.000 0.500
0.500 0.000 0.879
0.000 0.500 0.121
0.500 0.500 0.000
0.000 0.000 0.000
0.500 0.000 0.658
0.000 0.500 0.342

2.
Sm2USe4, relaxed, DFT GGA-PBE; mass density = 7.333 Mg/m³; E = -6.505 eV/atom; total moment = 6.48 Bohr magnetons per cell
1.0
4.051 0.000 0.000
-2.026 6.890 0.000
0.000 0.000 13.865
Sm U Se
4 2 8
direct
0.133 0.266 0.432
0.867 0.734 0.932
0.133 0.266 0.068
0.867 0.734 0.568
0.622 0.244 0.750
0.378 0.756 0.250
0.776 0.551 0.126
0.776 0.551 0.374
0.224 0.449 0.874
0.224 0.449 0.626
0.970 0.940 0.750
0.030 0.060 0.250
0.500 0.000 0.000
0.500 0.000 0.500

Repeat the second record exactly.
Sm2USe4, relaxed, DFT GGA-PBE; mass density = 7.333 Mg/m³; E = -6.505 eV/atom; total moment = 6.48 Bohr magnetons per cell
1.0
4.051 0.000 0.000
-2.026 6.890 0.000
0.000 0.000 13.865
Sm U Se
4 2 8
direct
0.133 0.266 0.432
0.867 0.734 0.932
0.133 0.266 0.068
0.867 0.734 0.568
0.622 0.244 0.750
0.378 0.756 0.250
0.776 0.551 0.126
0.776 0.551 0.374
0.224 0.449 0.874
0.224 0.449 0.626
0.970 0.940 0.750
0.030 0.060 0.250
0.500 0.000 0.000
0.500 0.000 0.500

Which value of E does entry 1 give?
-5.850 eV/atom